(1)
# La2CuSbS6

A relaxed La2CuSbS6 crystal (GGA-PBE, Alexandria via LeMat-Bulk).

POSCAR file:
```
La2CuSbS6
1.0
-2.9212 -5.5334 -2.1219
-1.5672 -1.8126 6.8842
-8.1477 4.3980 -0.6969
La Cu Sb S
4 2 2 12
Cartesian
-3.5573 -0.7229 5.9168
-8.6335 -0.7606 2.4946
-9.0788 -2.2252 -1.8515
-4.0026 -2.1874 1.5708
-1.4606 -2.7667 -1.0610
-4.8574 1.2927 3.0936
-5.5345 -0.5677 -1.4094
-0.7836 -0.9063 3.4421
-2.4392 -2.7793 3.9885
-8.1821 -3.5881 3.4944
-10.1969 -0.1687 0.0769
-4.4541 0.6400 0.5710
-5.6743 -1.0058 3.7507
-11.4043 -1.7996 3.2000
-6.9618 -1.9422 0.3147
-1.2319 -1.1484 0.8654
-5.5385 -4.6808 1.5564
-8.8579 -0.5318 5.3711
-7.0977 1.7327 2.5089
-3.7782 -2.4162 -1.3057
```

Computed properties:
total moment = 0.00 μB/f.u.

---

(2)
# Na2NbCrN4

A relaxed Na2NbCrN4 crystal (GGA-PBE, Alexandria via LeMat-Bulk).

POSCAR file:
```
Na2NbCrN4
1.0
5.6263 -0.4606 -0.7056
-2.8140 4.8938 0.7056
-2.8140 -1.3235 4.7639
Na Nb Cr N
2 1 1 4
Cartesian
-0.0008 3.1092 1.3674
0.0000 0.0000 0.0000
-0.0008 0.0005 3.3966
-2.8140 1.7851 2.7347
1.0625 0.9803 2.0739
-1.9060 0.2786 3.0319
3.2465 1.9797 0.4277
-2.4063 2.9809 3.9944
```

Computed properties:
total moment = 1.01 μB/f.u.

---

(3)
# BaAg3B

A relaxed BaAg3B crystal (GGA-PBE, Alexandria via LeMat-Bulk).

POSCAR file:
```
BaAg3B
1.0
-4.0513 0.7722 2.3137
1.3414 -3.0411 3.3638
2.0372 3.5381 2.3863
B Ba Ag
1 1 3
Cartesian
0.0000 0.0000 0.0000
-0.3364 0.6346 4.0319
0.6707 -1.5205 1.6819
1.0186 1.7690 1.1931
-2.0257 0.3861 1.1569
```

Computed properties:
energy of formation from the pure elements = 15.9 kJ/mol of atoms
total moment = 0.00 μB/f.u.

---

(4)
# Dy3Sc2S7

A relaxed Dy3Sc2S7 crystal (GGA-PBE, Alexandria via LeMat-Bulk).

POSCAR file:
```
Dy3Sc2S7
1.0
-1.9094 -3.7499 -4.9383
1.3830 -2.2630 -5.9212
5.0853 -10.0145 1.8845
Dy Sc S
3 2 7
Cartesian
0.0000 0.0000 0.0000
3.9013 -9.8227 -1.7914
0.6576 -6.2047 -7.1837
2.8464 -6.3905 -0.1330
1.7125 -9.6369 -8.8421
2.2794 -8.0137 -4.4875
4.4638 -13.4607 -5.4108
0.0951 -2.5666 -3.5643
3.4391 -13.5907 -9.0398
1.1198 -2.4367 0.0647
1.7007 -5.2093 -2.1838
2.8582 -10.8181 -6.7913
```

Computed properties:
total moment = 0.00 μB/f.u.

---

no.,DOS(E_F) (states/eV/atom),total DFT energy (no corrections) (eV/cell)
1,0.19,-108.53
2,0.28,-59.84
3,0.16,-16.33
4,0.15,-79.60